## a
# BeTeW, relaxed, DFT PBE-GGA
# Total moment in μB per cell: 0.00
data_BeTeW
_space_group_name_H-M_alt 'P 3 m 1'
_space_group_IT_number 156
_cell_length_a 3.1777
_cell_length_b 3.1777
_cell_length_c 6.0112
_cell_angle_alpha 90.00
_cell_angle_beta 90.00
_cell_angle_gamma 120.00
loop_
_space_group_symop_operation_xyz
'x,y,z'
'-y,x-y,z'
'-x+y,-x,z'
'-y,-x,z'
'-x+y,y,z'
'x,x-y,z'
loop_
_atom_site_label
_atom_site_type_symbol
_atom_site_fract_x
_atom_site_fract_y
_atom_site_fract_z
Be1 Be 0.0000 0.0000 0.0000
Te1 Te 0.6667 0.3333 0.3744
W1 W 0.3333 0.6667 0.7111

---

## b
# BeTeW, relaxed, DFT PBE-GGA
# Total moment in μB per cell: 0.00
data_BeTeW
_space_group_name_H-M_alt 'F m m 2'
_space_group_IT_number 42
_space_group_name_Hall 'F 2 -2'
_cell_length_a 3.612
_cell_length_b 4.669
_cell_length_c 12.740
_cell_angle_alpha 90.00
_cell_angle_beta 90.00
_cell_angle_gamma 90.00
loop_
_atom_site_label
_atom_site_type_symbol
_atom_site_fract_x
_atom_site_fract_y
_atom_site_fract_z
Be1 Be 0.000 0.000 0.000
Te1 Te 0.000 0.000 0.298
W1 W 0.000 0.000 0.619

---

## c
# BeTeW, relaxed, DFT PBE-GGA
# Total moment in μB per cell: 0.00
data_BeTeW
_space_group_name_H-M_alt 'I 4 m m'
_space_group_IT_number 107
_space_group_name_Hall 'I 4 -2'
_cell_length_a 3.339
_cell_length_b 3.339
_cell_length_c 8.338
_cell_angle_alpha 90.00
_cell_angle_beta 90.00
_cell_angle_gamma 90.00
loop_
_atom_site_label
_atom_site_type_symbol
_atom_site_fract_x
_atom_site_fract_y
_atom_site_fract_z
Be1 Be 0.000 0.000 0.000
Te1 Te 0.000 0.000 0.318
W1 W 0.000 0.000 0.645

---

## d
# BeTeW, relaxed, DFT PBE-GGA
# Total moment in μB per cell: 0.00
data_BeTeW
_space_group_name_H-M_alt 'F -4 3 m'
_space_group_IT_number 216
_space_group_name_Hall 'F -4 2 3'
_cell_length_a 5.881
_cell_length_b 5.881
_cell_length_c 5.881
_cell_angle_alpha 90.00
_cell_angle_beta 90.00
_cell_angle_gamma 90.00
loop_
_atom_site_label
_atom_site_type_symbol
_atom_site_fract_x
_atom_site_fract_y
_atom_site_fract_z
Be1 Be 0.000 0.000 0.000
Te1 Te 0.250 0.250 0.250
W1 W 0.250 0.250 0.750

---

What is the stability order? It is c, a, b, d, from most stable to least stable.

---

## a
# Be3TeW, relaxed, DFT PBE-GGA
# Total moment in μB per cell: 2.16
data_Be3TeW
_space_group_name_H-M_alt 'P m -3 m'
_space_group_IT_number 221
_space_group_name_Hall '-P 4 2 3'
_cell_length_a 4.494
_cell_length_b 4.494
_cell_length_c 4.494
_cell_angle_alpha 90.00
_cell_angle_beta 90.00
_cell_angle_gamma 90.00
loop_
_atom_site_label
_atom_site_type_symbol
_atom_site_fract_x
_atom_site_fract_y
_atom_site_fract_z
Be1 Be 0.000 0.000 0.500
Te1 Te 0.000 0.000 0.000
W1 W 0.500 0.500 0.500

---

## b
# Be3TeW, relaxed, DFT PBE-GGA
# Total moment in μB per cell: 0.00
data_Be3TeW
_space_group_name_H-M_alt 'P m -3 m'
_space_group_IT_number 221
_space_group_name_Hall '-P 4 2 3'
_cell_length_a 4.421
_cell_length_b 4.421
_cell_length_c 4.421
_cell_angle_alpha 90.00
_cell_angle_beta 90.00
_cell_angle_gamma 90.00
loop_
_atom_site_label
_atom_site_type_symbol
_atom_site_fract_x
_atom_site_fract_y
_atom_site_fract_z
Be1 Be 0.000 0.000 0.500
Te1 Te 0.500 0.500 0.500
W1 W 0.000 0.000 0.000

---

What is the stability order? It is b, a, from most stable to least stable.

---

## a
# Y2BeTe, relaxed, DFT PBE-GGA
# Total moment in μB per cell: 0.00
data_Y2BeTe
_space_group_name_H-M_alt 'P 4/m m m'
_space_group_IT_number 123
_space_group_name_Hall '-P 4 2'
_cell_length_a 4.225
_cell_length_b 4.225
_cell_length_c 5.976
_cell_angle_alpha 90.00
_cell_angle_beta 90.00
_cell_angle_gamma 90.00
loop_
_atom_site_label
_atom_site_type_symbol
_atom_site_fract_x
_atom_site_fract_y
_atom_site_fract_z
Y1 Y 0.000 0.000 0.000
Y2 Y 0.500 0.500 0.500
Be1 Be 0.000 0.000 0.500
Te1 Te 0.500 0.500 0.000

---

## b
# Y2BeTe, relaxed, DFT PBE-GGA
# Total moment in μB per cell: 0.00
data_Y2BeTe
_space_group_name_H-M_alt 'I m m m'
_space_group_IT_number 71
_space_group_name_Hall '-I 2 2'
_cell_length_a 4.454
_cell_length_b 5.256
_cell_length_c 8.274
_cell_angle_alpha 90.00
_cell_angle_beta 90.00
_cell_angle_gamma 90.00
loop_
_atom_site_label
_atom_site_type_symbol
_atom_site_fract_x
_atom_site_fract_y
_atom_site_fract_z
Y1 Y 0.000 0.000 0.244
Be1 Be 0.000 0.500 0.500
Te1 Te 0.000 0.500 0.000

---

## c
# Y2BeTe, relaxed, DFT PBE-GGA
# Total moment in μB per cell: 0.00
data_Y2BeTe
_space_group_name_H-M_alt 'C 1 2/m 1'
_space_group_IT_number 12
_cell_length_a 6.616
_cell_length_b 7.981
_cell_length_c 3.651
_cell_angle_alpha 90.00
_cell_angle_beta 90.18
_cell_angle_gamma 90.00
loop_
_space_group_symop_operation_xyz
'x,y,z'
'-x,-y,-z'
'-x,y,-z'
'x,-y,z'
'x+1/2,y+1/2,z'
'-x+1/2,-y+1/2,-z'
'-x+1/2,y+1/2,-z'
'x+1/2,-y+1/2,z'
loop_
_atom_site_label
_atom_site_type_symbol
_atom_site_fract_x
_atom_site_fract_y
_atom_site_fract_z
Y1 Y 0.250 0.250 0.000
Be1 Be 0.000 0.000 0.500
Te1 Te 0.000 0.500 0.500

---

What is the stability order? It is a, c, b, from most stable to least stable.

---

## a
# Y2BeTe, relaxed, DFT PBE-GGA
# Total moment in μB per cell: 0.00
data_Y2BeTe
_space_group_name_H-M_alt 'A m m 2'
_space_group_IT_number 38
_cell_length_a 3.969
_cell_length_b 4.331
_cell_length_c 11.027
_cell_angle_alpha 90.00
_cell_angle_beta 90.00
_cell_angle_gamma 90.00
loop_
_space_group_symop_operation_xyz
'x,y,z'
'-x,-y,z'
'-x,y,z'
'x,-y,z'
'x,y+1/2,z+1/2'
'-x,-y+1/2,z+1/2'
'-x,y+1/2,z+1/2'
'x,-y+1/2,z+1/2'
loop_
_atom_site_label
_atom_site_type_symbol
_atom_site_fract_x
_atom_site_fract_y
_atom_site_fract_z
Y1 Y 0.000 0.000 0.000
Y2 Y 0.500 0.000 0.294
Be1 Be 0.500 0.000 0.550
Te1 Te 0.000 0.000 0.711

---

## b
# Y2BeTe, relaxed, DFT PBE-GGA
# Total moment in μB per cell: 0.00
data_Y2BeTe
_space_group_name_H-M_alt 'R -3 m'
_space_group_IT_number 166
_space_group_name_Hall '-R 3 2"'
_cell_length_a 4.0416
_cell_length_b 4.0416
_cell_length_c 22.1592
_cell_angle_alpha 90.00
_cell_angle_beta 90.00
_cell_angle_gamma 120.00
loop_
_atom_site_label
_atom_site_type_symbol
_atom_site_fract_x
_atom_site_fract_y
_atom_site_fract_z
Y1 Y 0.0000 0.0000 0.2422
Be1 Be 0.0000 0.0000 0.5000
Te1 Te 0.0000 0.0000 0.0000

---

What is the stability order? It is a, b, from most stable to least stable.

---

## a
# Y2BeTe, relaxed, DFT PBE-GGA
# Total moment in μB per cell: 0.00
data_Y2BeTe
_space_group_name_H-M_alt 'C m m 2'
_space_group_IT_number 35
_cell_length_a 5.086
_cell_length_b 5.099
_cell_length_c 7.672
_cell_angle_alpha 90.00
_cell_angle_beta 90.00
_cell_angle_gamma 90.00
loop_
_space_group_symop_operation_xyz
'x,y,z'
'-x,-y,z'
'-x,y,z'
'x,-y,z'
'x+1/2,y+1/2,z'
'-x+1/2,-y+1/2,z'
'-x+1/2,y+1/2,z'
'x+1/2,-y+1/2,z'
loop_
_atom_site_label
_atom_site_type_symbol
_atom_site_fract_x
_atom_site_fract_y
_atom_site_fract_z
Y1 Y 0.000 0.000 0.000
Y2 Y 0.000 0.500 0.334
Be1 Be 0.000 0.500 0.755
Te1 Te 0.000 0.000 0.602

---

## b
# Y2BeTe, relaxed, DFT PBE-GGA
# Total moment in μB per cell: 0.12
data_Y2BeTe
_space_group_name_H-M_alt 'P 4/m m m'
_space_group_IT_number 123
_space_group_name_Hall '-P 4 2'
_cell_length_a 3.728
_cell_length_b 3.728
_cell_length_c 6.901
_cell_angle_alpha 90.00
_cell_angle_beta 90.00
_cell_angle_gamma 90.00
loop_
_atom_site_label
_atom_site_type_symbol
_atom_site_fract_x
_atom_site_fract_y
_atom_site_fract_z
Y1 Y 0.000 0.000 0.233
Be1 Be 0.500 0.500 0.000
Te1 Te 0.500 0.500 0.500

---

## c
# Y2BeTe, relaxed, DFT PBE-GGA
# Total moment in μB per cell: 0.00
data_Y2BeTe
_space_group_name_H-M_alt 'I m m 2'
_space_group_IT_number 44
_cell_length_a 3.786
_cell_length_b 4.670
_cell_length_c 10.753
_cell_angle_alpha 90.00
_cell_angle_beta 90.00
_cell_angle_gamma 90.00
loop_
_space_group_symop_operation_xyz
'x,y,z'
'-x,-y,z'
'-x,y,z'
'x,-y,z'
'x+1/2,y+1/2,z+1/2'
'-x+1/2,-y+1/2,z+1/2'
'-x+1/2,y+1/2,z+1/2'
'x+1/2,-y+1/2,z+1/2'
loop_
_atom_site_label
_atom_site_type_symbol
_atom_site_fract_x
_atom_site_fract_y
_atom_site_fract_z
Y1 Y 0.000 0.000 0.000
Y2 Y 0.000 0.500 0.232
Be1 Be 0.000 0.500 0.757
Te1 Te 0.000 0.000 0.436

---

## d
# Y2BeTe, relaxed, DFT PBE-GGA
# Total moment in μB per cell: 0.00
data_Y2BeTe
_space_group_name_H-M_alt 'I -4 2 d'
_space_group_IT_number 122
_space_group_name_Hall 'I -4 2bw'
_cell_length_a 7.718
_cell_length_b 7.718
_cell_length_c 6.981
_cell_angle_alpha 90.00
_cell_angle_beta 90.00
_cell_angle_gamma 90.00
loop_
_atom_site_label
_atom_site_type_symbol
_atom_site_fract_x
_atom_site_fract_y
_atom_site_fract_z
Y1 Y 0.217 0.750 0.125
Be1 Be 0.000 0.000 0.000
Te1 Te 0.000 0.000 0.500

---

What is the stability order? It is b, c, d, a, from most stable to least stable.

---

## a
# Y2BeTe, relaxed, DFT PBE-GGA
# Total moment in μB per cell: 0.00
data_Y2BeTe
_space_group_name_H-M_alt 'F m -3 m'
_space_group_IT_number 225
_space_group_name_Hall '-F 4 2 3'
_cell_length_a 7.296
_cell_length_b 7.296
_cell_length_c 7.296
_cell_angle_alpha 90.00
_cell_angle_beta 90.00
_cell_angle_gamma 90.00
loop_
_atom_site_label
_atom_site_type_symbol
_atom_site_fract_x
_atom_site_fract_y
_atom_site_fract_z
Y1 Y 0.250 0.250 0.250
Be1 Be 0.000 0.000 0.000
Te1 Te 0.000 0.000 0.500

---

## b
# Y2BeTe, relaxed, DFT PBE-GGA
# Total moment in μB per cell: 0.00
data_Y2BeTe
_space_group_name_H-M_alt 'F -4 3 m'
_space_group_IT_number 216
_space_group_name_Hall 'F -4 2 3'
_cell_length_a 7.255
_cell_length_b 7.255
_cell_length_c 7.255
_cell_angle_alpha 90.00
_cell_angle_beta 90.00
_cell_angle_gamma 90.00
loop_
_atom_site_label
_atom_site_type_symbol
_atom_site_fract_x
_atom_site_fract_y
_atom_site_fract_z
Y1 Y 0.000 0.000 0.000
Y2 Y 0.250 0.250 0.250
Be1 Be 0.000 0.000 0.500
Te1 Te 0.250 0.250 0.750

---

What is the stability order? It is a, b, from most stable to least stable.